Computed, not measured: an optimized crystal structure of CaDyNi4O12 at the PBE with a Hubbard U level of DFT. Values from VASP.

Cell and atoms, written as Quantum ESPRESSO input:
```
&SYSTEM
  ibrav = 0, nat = 18, ntyp = 4
/
ATOMIC_SPECIES
Ca 40.08 Ca.upf
Dy 162.50 Dy.upf
Ni 58.69 Ni.upf
O 16.00 O.upf
CELL_PARAMETERS angstrom
7.572 0.000 0.000
0.000 3.708 3.814
0.000 -3.708 3.814
ATOMIC_POSITIONS crystal
Ca 0.000 0.000 0.000
Dy 0.500 0.533 0.533
Ni 0.250 0.023 0.511
Ni 0.250 0.511 0.023
Ni 0.750 0.023 0.511
Ni 0.750 0.511 0.023
O 0.000 0.560 0.990
O 0.000 0.990 0.560
O 0.201 0.227 0.227
O 0.268 0.300 0.736
O 0.268 0.736 0.300
O 0.297 0.770 0.770
O 0.500 0.094 0.482
O 0.500 0.482 0.094
O 0.703 0.770 0.770
O 0.732 0.300 0.736
O 0.732 0.736 0.300
O 0.799 0.227 0.227
```

Calculated values
The value obtained for the total energy is -5.01 eV/atom. The total magnetization comes out at 10.45 μB per formula unit.